(1)
ZrTl2Au: relaxed, GGA-PBEsol.

The space group is I4/mmm (No. 139) and the conventional cell measures 4.2456, 4.2456 and 9.6738 Å, with angles of 90.00, 90.00 and 90.00 degrees. The inequivalent atoms are Zr at (0.0000, 0.0000, 0.0000), Tl at (0.0000, 0.5000, 0.2500) and Au at (0.0000, 0.0000, 0.5000).

The value obtained for the density is 13.3 Mg/m³. Its formation energy from the elements is 0.213 eV/f.u. Its volume is 21.80 Å³/atom. The calculation puts the offset from the most stable computed form at 79.6 meV per atom.

---

(2)
ZrTl2Au: relaxed, GGA-PBEsol.

The space group is P2/m (No. 10) and the conventional cell measures 3.2305, 4.6140 and 5.8440 Å, with angles of 90.00, 95.88 and 90.00 degrees. The inequivalent atoms are Zr at (0.0000, 0.0000, 0.0000), Tl at (0.3332, 0.5000, 0.7481) and Au at (0.5000, 0.0000, 0.5000).

The value obtained for the density is 13.4 Mg/m³. Its formation energy from the elements is -0.105 eV/f.u. Its volume is 21.66 Å³/atom. The calculation puts the offset from the most stable computed form at 0.0 meV per atom.

---

(3)
ZrTl2Au: relaxed, GGA-PBEsol.

The space group is Cmmm (No. 65) and the conventional cell measures 3.2881, 5.6236 and 9.6034 Å, with angles of 90.00, 90.00 and 90.00 degrees. The inequivalent atoms are Zr at (0.0000, 0.0000, 0.0000), Tl at (0.0000, 0.5000, 0.2614) and Au at (0.0000, 0.0000, 0.5000).

The value obtained for the density is 13.0 Mg/m³. Its formation energy from the elements is 0.235 eV/f.u. Its volume is 22.20 Å³/atom. The calculation puts the offset from the most stable computed form at 85.0 meV per atom.